Li4Co3CuO8: relaxed, GGA+U.

Properties
N(E_F), states/eV/atom: 0.039
Uncorrected energy, eV per formula unit: -86.872

Cell: 5.909 5.909 5.909 Å, 59.79 59.79 59.79°
Each line ends with the local moment (μB).
Atoms (fractional coordinates):
Li1 0.000 0.500 0.000  0.02
Li2 0.000 0.000 0.500  0.02
Li3 0.500 0.500 0.500  0.02
Li4 0.500 0.000 0.000  0.02
O1 0.244 0.744 0.244  0.40
O2 0.259 0.259 0.259  0.40
O3 0.756 0.756 0.256  0.40
O4 0.741 0.741 0.741  0.40
O5 0.256 0.756 0.756  0.40
O6 0.244 0.244 0.744  0.40
O7 0.744 0.244 0.244  0.40
O8 0.756 0.256 0.756  0.40
Co1 0.500 0.000 0.500  3.08
Co2 0.000 0.500 0.500  3.08
Co3 0.500 0.500 0.000  3.08
Cu1 0.000 0.000 0.000  0.88